PmY4Tl | Alexandria via LeMat-Bulk | GGA-PBE | relaxed; energy of formation = 0.0776 eV/atom; E above lowest polymorph = 53 meV/atom; M_tot = 0.000 μB per formula unit; SG = No. 12; Fermi-level density of states = 1.421 states/eV/atom
1.0
4.736 -2.728 0.000
4.736 2.728 0.000
-3.150 0.000 7.735
Pm Y Tl
1 4 1
Direct
0.000 0.000 0.000
0.217 0.217 0.649
0.368 0.368 0.104
0.632 0.632 0.896
0.783 0.783 0.351
0.500 0.500 0.500